Record 1
A relaxed structure of PmGeAu2. Source: the Alexandria database, functional PBE.

For the polymorph energy (0 for the lowest one), the calculation gives 0.18 eV per formula unit. The formation energy comes out at -210 kJ/mol of formula units.

It has space group P-3m1 (No. 164), with a = 4.6406 Å, b = 4.6406 Å, c = 9.8854 Å, α = 90.00°, β = 90.00° and γ = 120.00°. The distinct sites, in fractional coordinates, are Pm at (0.0000, 0.0000, 0.1890), Ge at (0.3333, 0.6667, 0.6302), Au at (0.3333, 0.6667, 0.0079) and Au at (0.3333, 0.6667, 0.3577).

***

Record 2
A relaxed structure of Pm2GeAu. Source: the Alexandria database, functional PBE.

For the polymorph energy (0 for the lowest one), the calculation gives 0.33 eV per formula unit. The formation energy comes out at -282 kJ/mol of formula units.

It has space group Fm-3m (No. 225), with a = 7.368 Å, b = 7.368 Å, c = 7.368 Å, α = 90.00°, β = 90.00° and γ = 90.00°. The distinct sites, in fractional coordinates, are Pm at (0.250, 0.250, 0.250), Ge at (0.000, 0.000, 0.000) and Au at (0.000, 0.000, 0.500).

***

Record 3
A relaxed structure of Pm2GeAu3. Source: the Alexandria database, functional PBE.

For the polymorph energy (0 for the lowest one), the calculation gives 0.00 eV per formula unit. The formation energy comes out at -455 kJ/mol of formula units.

It has space group Pmm2 (No. 25), with a = 3.616 Å, b = 4.591 Å, c = 8.221 Å, α = 90.00°, β = 90.00° and γ = 90.00°. The distinct sites, in fractional coordinates, are Pm at (0.000, 0.000, 0.000), Pm at (0.000, 0.500, 0.487), Ge at (0.500, 0.500, 0.824), Au at (0.500, 0.000, 0.334), Au at (0.500, 0.000, 0.672) and Au at (0.500, 0.500, 0.146).

***

Record 4
A relaxed structure of PmPrGeAu. Source: the Alexandria database, functional PBE.

For the polymorph energy (0 for the lowest one), the calculation gives 0.31 eV per formula unit. The formation energy comes out at -277 kJ/mol of formula units.

It has space group F-43m (No. 216), with a = 7.423 Å, b = 7.423 Å, c = 7.423 Å, α = 90.00°, β = 90.00° and γ = 90.00°. The distinct sites, in fractional coordinates, are Pm at (0.000, 0.000, 0.000), Pr at (0.000, 0.000, 0.500), Ge at (0.250, 0.250, 0.750) and Au at (0.250, 0.250, 0.250).

***

Record 5
A relaxed structure of PmPrGeAu. Source: the Alexandria database, functional PBE.

For the polymorph energy (0 for the lowest one), the calculation gives 0.00 eV per formula unit. The formation energy comes out at -307 kJ/mol of formula units.

It has space group Amm2 (No. 38), with a = 4.454 Å, b = 4.213 Å, c = 11.252 Å, α = 90.00°, β = 90.00° and γ = 90.00°. The distinct sites, in fractional coordinates, are Pm at (0.000, 0.000, 0.000), Pr at (0.500, 0.000, 0.276), Ge at (0.000, 0.000, 0.722) and Au at (0.500, 0.000, 0.557).

***

Record 6
A relaxed structure of Pm2Ge4PtAu3. Source: the Alexandria database, functional PBE.

The formation energy comes out at -584 kJ/mol of formula units.

It has space group P-4m2 (No. 115), with a = 4.378 Å, b = 4.378 Å, c = 10.752 Å, α = 90.00°, β = 90.00° and γ = 90.00°. The distinct sites, in fractional coordinates, are Pm at (0.000, 0.500, 0.235), Ge at (0.000, 0.000, 0.500), Ge at (0.000, 0.500, 0.871), Ge at (0.500, 0.500, 0.500), Pt at (0.500, 0.500, 0.000), Au at (0.000, 0.000, 0.000) and Au at (0.000, 0.500, 0.639).